No. 1
## La6Ge2AsBr3 (PBE-GGA)

Data for a relaxed structure of La6Ge2AsBr3.

Results
Raw formation energy (eV/atom): -1.341
VASP energy (eV per atom): -5.3795

extended XYZ file:
```
12
Lattice="3.809 -6.602 0.000 3.809 6.602 0.000 -2.539 0.000 7.295" Properties=species:S:1:pos:R:3 pbc="T T T"
La -0.001 2.206 5.692
La 1.263 0.000 1.602
La -0.001 -2.206 5.692
La 5.081 2.206 1.603
La 3.817 0.000 5.693
La 5.081 -2.206 1.603
Ge 3.809 4.403 0.000
Ge 3.809 -4.403 0.000
As 3.809 0.000 0.000
Br -1.269 0.000 3.648
Br 2.540 2.211 3.648
Br 2.540 -2.211 3.648
```

***

No. 2
## LiGeAs2Br (PBE-GGA)

Data for a relaxed structure of LiGeAs2Br.

Results
Excess energy over the best structure of this formula in the dataset (meV/atom): 0.0
Raw formation energy (eV/atom): 0.244
VASP energy (eV per atom): -3.2564

extended XYZ file:
```
5
Lattice="4.915 0.000 0.000 0.000 4.915 0.000 0.000 0.000 5.983" Properties=species:S:1:pos:R:3 pbc="T T T"
Li 0.000 0.000 0.000
Ge 2.457 2.457 2.992
As 0.000 2.457 2.992
As 2.457 0.000 2.992
Br 2.457 2.457 0.000
```

***

No. 3
## LiGeAs2Br (PBE-GGA)

Data for a relaxed structure of LiGeAs2Br.

Results
Excess energy over the best structure of this formula in the dataset (meV/atom): 179.8
Raw formation energy (eV/atom): 0.424
VASP energy (eV per atom): -3.0766

extended XYZ file:
```
5
Lattice="4.588 0.000 0.000 0.000 4.588 0.000 0.000 0.000 5.175" Properties=species:S:1:pos:R:3 pbc="T T T"
Li 0.000 0.000 0.000
Ge 2.294 2.294 2.587
As 0.000 2.294 0.000
As 2.294 0.000 0.000
Br 0.000 0.000 2.587
```

***

No. 4
## MnGeAs2Br (PBE-GGA)

Data for a relaxed structure of MnGeAs2Br.

Results
Excess energy over the best structure of this formula in the dataset (meV/atom): 332.9
Raw formation energy (eV/atom): 0.752
VASP energy (eV per atom): -4.1994

extended XYZ file:
```
5
Lattice="4.982 0.000 0.000 0.000 4.982 0.000 0.000 0.000 5.228" Properties=species:S:1:pos:R:3 pbc="T T T"
Mn 0.000 0.000 0.000
Ge 2.491 2.491 2.614
As 0.000 2.491 2.614
As 2.491 0.000 2.614
Br 2.491 2.491 0.000
```

***

No. 5
## MnGeAsBr2 (PBE-GGA)

Data for a relaxed structure of MnGeAsBr2.

Results
Excess energy over the best structure of this formula in the dataset (meV/atom): 0.0
Raw formation energy (eV/atom): 0.240
VASP energy (eV per atom): -4.1166

extended XYZ file:
```
5
Lattice="4.958 0.000 0.000 0.000 4.958 0.000 0.000 0.000 5.153" Properties=species:S:1:pos:R:3 pbc="T T T"
Mn 0.000 0.000 0.000
Ge 2.479 2.479 2.576
As 0.000 0.000 2.576
Br 0.000 2.479 0.000
Br 2.479 0.000 0.000
```

***

No. 6
## MnGeAsBr2 (PBE-GGA)

Data for a relaxed structure of MnGeAsBr2.

Results
Excess energy over the best structure of this formula in the dataset (meV/atom): 229.8
Raw formation energy (eV/atom): 0.470
VASP energy (eV per atom): -3.8868

extended XYZ file:
```
5
Lattice="5.186 0.000 0.000 0.000 5.186 0.000 0.000 0.000 5.281" Properties=species:S:1:pos:R:3 pbc="T T T"
Mn 0.000 0.000 0.000
Ge 2.593 2.593 2.640
As 2.593 2.593 0.000
Br 0.000 2.593 2.640
Br 2.593 0.000 2.640
```

***

No. 7
## MnGeAs2Br (PBE-GGA)

Data for a relaxed structure of MnGeAs2Br.

Results
Excess energy over the best structure of this formula in the dataset (meV/atom): 0.0
Raw formation energy (eV/atom): 0.419
VASP energy (eV per atom): -4.5323

extended XYZ file:
```
5
Lattice="4.664 0.000 0.000 0.000 4.664 0.000 0.000 0.000 5.273" Properties=species:S:1:pos:R:3 pbc="T T T"
Mn 0.000 0.000 0.000
Ge 2.332 2.332 2.637
As 0.000 2.332 0.000
As 2.332 0.000 0.000
Br 0.000 0.000 2.637
```

***

No. 8
## GeMoAs2Br (PBE-GGA)

Data for a relaxed structure of GeMoAs2Br.

Results
Excess energy over the best structure of this formula in the dataset (meV/atom): 572.0
Raw formation energy (eV/atom): 1.121
VASP energy (eV per atom): -4.1628

extended XYZ file:
```
5
Lattice="4.952 0.000 0.000 0.000 4.952 0.000 0.000 0.000 5.106" Properties=species:S:1:pos:R:3 pbc="T T T"
Ge 0.000 0.000 0.000
Mo 2.476 2.476 2.553
As 0.000 2.476 0.000
As 2.476 0.000 0.000
Br 0.000 0.000 2.553
```

***

No. 9
## GeMoAs2Br (PBE-GGA)

Data for a relaxed structure of GeMoAs2Br.

Results
Excess energy over the best structure of this formula in the dataset (meV/atom): 0.0
Raw formation energy (eV/atom): 0.549
VASP energy (eV per atom): -4.7348

extended XYZ file:
```
5
Lattice="4.818 0.000 0.000 0.000 4.818 0.000 0.000 0.000 5.444" Properties=species:S:1:pos:R:3 pbc="T T T"
Ge 0.000 0.000 0.000
Mo 2.409 2.409 2.722
As 0.000 2.409 2.722
As 2.409 0.000 2.722
Br 2.409 2.409 0.000
```

***

No. 10
## GeAsBr2N (PBE-GGA)

Data for a relaxed structure of GeAsBr2N.

Results
Excess energy over the best structure of this formula in the dataset (meV/atom): 190.1
Raw formation energy (eV/atom): 1.172
VASP energy (eV per atom): -3.0158

extended XYZ file:
```
5
Lattice="5.346 0.000 0.000 0.000 5.346 0.000 0.000 0.000 5.268" Properties=species:S:1:pos:R:3 pbc="T T T"
Ge 0.000 0.000 0.000
As 0.000 0.000 2.634
Br 0.000 2.673 0.000
Br 2.673 0.000 0.000
N 2.673 2.673 2.634
```

***

No. 11
## GeAsBr2N (PBE-GGA)

Data for a relaxed structure of GeAsBr2N.

Results
Excess energy over the best structure of this formula in the dataset (meV/atom): 0.0
Raw formation energy (eV/atom): 0.982
VASP energy (eV per atom): -3.2059

extended XYZ file:
```
5
Lattice="4.533 0.000 0.000 0.000 4.533 0.000 0.000 0.000 4.773" Properties=species:S:1:pos:R:3 pbc="T T T"
Ge 0.000 0.000 0.000
As 2.266 2.266 0.000
Br 0.000 2.266 2.386
Br 2.266 0.000 2.386
N 2.266 2.266 2.386
```

***

No. 12
## NaGeAsBr2 (PBE-GGA)

Data for a relaxed structure of NaGeAsBr2.

Results
Excess energy over the best structure of this formula in the dataset (meV/atom): 571.2
Raw formation energy (eV/atom): 0.336
VASP energy (eV per atom): -2.4499

extended XYZ file:
```
5
Lattice="5.210 0.000 0.000 0.000 5.210 0.000 0.000 0.000 5.621" Properties=species:S:1:pos:R:3 pbc="T T T"
Na 0.000 0.000 0.000
Ge 2.605 2.605 2.811
As 0.000 0.000 2.811
Br 0.000 2.605 0.000
Br 2.605 0.000 0.000
```

***

No. 13
## NaGeAsBr2 (PBE-GGA)

Data for a relaxed structure of NaGeAsBr2.

Results
Excess energy over the best structure of this formula in the dataset (meV/atom): 0.0
Raw formation energy (eV/atom): -0.235
VASP energy (eV per atom): -3.0212

extended XYZ file:
```
5
Lattice="5.550 0.000 0.000 0.000 5.550 0.000 0.000 0.000 5.164" Properties=species:S:1:pos:R:3 pbc="T T T"
Na 0.000 0.000 0.000
Ge 2.775 2.775 2.582
As 2.775 2.775 0.000
Br 0.000 2.775 2.582
Br 2.775 0.000 2.582
```

***

No. 14
## NbGeAs2Br (PBE-GGA)

Data for a relaxed structure of NbGeAs2Br.

Results
Excess energy over the best structure of this formula in the dataset (meV/atom): 555.8
Raw formation energy (eV/atom): 0.927
VASP energy (eV per atom): -4.2044

extended XYZ file:
```
5
Lattice="4.884 0.000 0.000 0.000 4.884 0.000 0.000 0.000 5.081" Properties=species:S:1:pos:R:3 pbc="T T T"
Nb 0.000 0.000 0.000
Ge 2.442 2.442 2.541
As 0.000 2.442 2.541
As 2.442 0.000 2.541
Br 2.442 2.442 0.000
```

***

No. 15
## NbGeAsBr2 (PBE-GGA)

Data for a relaxed structure of NbGeAsBr2.

Results
Excess energy over the best structure of this formula in the dataset (meV/atom): 515.5
Raw formation energy (eV/atom): 0.803
VASP energy (eV per atom): -3.7334

extended XYZ file:
```
5
Lattice="5.097 0.000 0.000 0.000 5.097 0.000 0.000 0.000 5.178" Properties=species:S:1:pos:R:3 pbc="T T T"
Nb 0.000 0.000 0.000
Ge 2.548 2.548 2.589
As 2.548 2.548 0.000
Br 0.000 2.548 2.589
Br 2.548 0.000 2.589
```

***

No. 16
## NbGeAs2Br (PBE-GGA)

Data for a relaxed structure of NbGeAs2Br.

Results
Excess energy over the best structure of this formula in the dataset (meV/atom): 0.0
Raw formation energy (eV/atom): 0.372
VASP energy (eV per atom): -4.7602

extended XYZ file:
```
5
Lattice="5.050 0.000 0.000 0.000 5.050 0.000 0.000 0.000 5.138" Properties=species:S:1:pos:R:3 pbc="T T T"
Nb 0.000 0.000 0.000
Ge 2.525 2.525 2.569
As 0.000 2.525 0.000
As 2.525 0.000 0.000
Br 0.000 0.000 2.569
```

***

No. 17
## NbGeAsBr2 (PBE-GGA)

Data for a relaxed structure of NbGeAsBr2.

Results
Excess energy over the best structure of this formula in the dataset (meV/atom): 0.0
Raw formation energy (eV/atom): 0.288
VASP energy (eV per atom): -4.2489

extended XYZ file:
```
5
Lattice="5.128 0.000 0.000 0.000 5.128 0.000 0.000 0.000 5.177" Properties=species:S:1:pos:R:3 pbc="T T T"
Nb 0.000 0.000 0.000
Ge 2.564 2.564 2.589
As 0.000 0.000 2.589
Br 0.000 2.564 0.000
Br 2.564 0.000 0.000
```

***

No. 18
## Nd4GeAsBr2 (PBE-GGA)

Data for a relaxed structure of Nd4GeAsBr2.

Results
Raw formation energy (eV/atom): -1.295
VASP energy (eV per atom): -5.2559

extended XYZ file:
```
8
Lattice="7.414 0.000 0.000 0.000 4.288 0.000 -2.477 0.000 7.301" Properties=species:S:1:pos:R:3 pbc="T T T"
Nd 1.222 0.000 1.544
Nd -0.015 2.144 5.770
Nd 4.952 2.144 1.531
Nd 3.715 0.000 5.758
Ge 0.000 2.144 0.000
As 3.707 0.000 0.000
Br -1.238 0.000 3.651
Br 2.469 2.144 3.651
```

***

No. 19
## Nd4GeAs2Br (PBE-GGA)

Data for a relaxed structure of Nd4GeAs2Br.

Results
Raw formation energy (eV/atom): -1.345
VASP energy (eV per atom): -5.6776

extended XYZ file:
```
8
Lattice="7.415 0.000 0.000 0.000 4.285 0.000 -2.425 0.000 7.024" Properties=species:S:1:pos:R:3 pbc="T T T"
Nd 1.173 0.000 1.621
Nd -0.020 2.143 5.317
Nd 5.010 2.143 1.707
Nd 3.817 0.000 5.403
Ge 3.707 0.000 0.000
As -1.213 0.000 3.512
As 0.000 2.143 0.000
Br 2.495 2.143 3.512
```

***

No. 20
## NiGeAsBr2 (PBE-GGA)

Data for a relaxed structure of NiGeAsBr2.

Results
Excess energy over the best structure of this formula in the dataset (meV/atom): 0.0
Raw formation energy (eV/atom): 0.315
VASP energy (eV per atom): -3.3640

extended XYZ file:
```
5
Lattice="4.857 0.000 0.000 0.000 4.857 0.000 0.000 0.000 4.773" Properties=species:S:1:pos:R:3 pbc="T T T"
Ni 0.000 0.000 0.000
Ge 2.428 2.428 2.386
As 0.000 0.000 2.386
Br 0.000 2.428 0.000
Br 2.428 0.000 0.000
```